(1)
Below is a relaxed structure of La3YMg, with properties calculated at the PBE level.

## Properties
* distance to the lowest polymorph of the same formula: 307 kJ/mol of formula units
* space group: No. 221
* DFT formation energy: 0.62 eV per atom

Lattice parameters (Å, degrees): 5.8959 5.8959 5.8959 90.00 90.00 90.00
With the nearest neighbours (Å) after each atom.
Positions (direct):
Mg (0.5000, 0.5000, 0.5000)  12 La 4.17
La (0.5000, 0.0000, 0.0000)  2 Y 2.95
Y (0.0000, 0.0000, 0.0000)  6 La 2.95
La (0.0000, 0.5000, 0.0000)  2 Y 2.95
La (0.0000, 0.0000, 0.5000)  2 Y 2.95



(2)
Below is a relaxed structure of LaY3Mg, with properties calculated at the PBE level.

## Properties
* distance to the lowest polymorph of the same formula: 28 kJ/mol of formula units
* space group: No. 15
* DFT formation energy: 0.04 eV per atom

Lattice parameters (Å, degrees): 6.5787 10.0322 10.0322 81.64 79.09 79.09
With the nearest neighbours (Å) after each atom.
Positions (direct):
Y (0.8597, 0.2738, 0.1269)  6 Y 3.40-3.70, 2 Mg 3.46-3.48, 2 La 3.46-3.81
Y (0.1403, 0.7262, 0.8731)  6 Y 3.40-3.70, 2 Mg 3.46-3.48, 2 La 3.46-3.81
La (0.0321, 0.6717, 0.5272)  8 Y 3.46-3.81, 4 La 3.61-3.80
Y (0.6371, 0.6242, 0.9952)  6 Y 3.28-3.62, 2 Mg 3.36-3.45, 1 La 3.53
La (0.9679, 0.3283, 0.4728)  8 Y 3.46-3.81, 4 La 3.61-3.80
Y (0.0282, 0.4035, 0.7935)  2 Mg 3.27-3.46, 4 Y 3.28-3.62, 3 La 3.51-3.64
Y (0.5282, 0.7935, 0.4035)  2 Mg 3.27-3.46, 4 Y 3.28-3.62, 3 La 3.51-3.64
Y (0.1371, 0.9952, 0.6242)  6 Y 3.28-3.62, 2 Mg 3.36-3.45, 1 La 3.53
Mg (0.2500, 0.8425, 0.1575)  3 Mg 3.12-3.44, 6 Y 3.27-3.48
Y (0.8629, 0.0048, 0.3758)  6 Y 3.28-3.62, 2 Mg 3.36-3.45, 1 La 3.53
Mg (0.2500, 0.0800, 0.9200)  3 Mg 3.12-3.44, 6 Y 3.45-3.46
Y (0.9718, 0.5965, 0.2065)  2 Mg 3.27-3.46, 4 Y 3.28-3.62, 3 La 3.51-3.64
Y (0.4718, 0.2065, 0.5965)  2 Mg 3.27-3.46, 4 Y 3.28-3.62, 3 La 3.51-3.64
Y (0.3629, 0.3758, 0.0048)  6 Y 3.28-3.62, 2 Mg 3.36-3.45, 1 La 3.53
Y (0.3597, 0.1269, 0.2738)  6 Y 3.40-3.70, 2 Mg 3.46-3.48, 2 La 3.46-3.81
Mg (0.7500, 0.9200, 0.0800)  3 Mg 3.12-3.44, 6 Y 3.45-3.46
Mg (0.7500, 0.1575, 0.8425)  3 Mg 3.12-3.44, 6 Y 3.27-3.48
La (0.4679, 0.4728, 0.3283)  8 Y 3.46-3.81, 4 La 3.61-3.80
La (0.5321, 0.5272, 0.6717)  8 Y 3.46-3.81, 4 La 3.61-3.80
Y (0.6403, 0.8731, 0.7262)  6 Y 3.40-3.70, 2 Mg 3.46-3.48, 2 La 3.46-3.81